{
  "formula": "RbNa2MnO4",
  "functional": "PBE+U",
  "state": "optimized geometry",
  "cell": [[-2.923, 2.923, 3.802], [2.923, -2.923, 3.802], [2.923, 2.923, -3.802]],
  "species": ["Rb", "Na", "Na", "Mn", "O", "O", "O", "O"],
  "frac_coords": [[0.000, 0.000, 0.000], [0.250, 0.750, 0.500], [0.750, 0.250, 0.500], [0.500, 0.500, 0.000], [0.199, 0.199, 0.658], [0.459, 0.801, 0.000], [0.541, 0.541, 0.342], [0.801, 0.459, 0.000]],
  "dos_at_fermi_per_ev_cell": 0.0,
  "energy_ev_per_atom": -5.312
}